Here is an optimized crystal structure of NaIrSCl2 from Alexandria. Energies are from PBE.

DFT total energy: -4.0617 eV/atom
Space group: P4/mmm (123)
Spin magnetization: 0.00 Bohr magnetons per cell
Formation energy (no corrections): -222.6 kJ/mol of formula units
Distance to the lowest polymorph of the same formula: 0 meV per atom
DOS(E_F): 0.55 states/eV per atom
Calculated density: 4528 kg/m3

Lattice parameters (Å, degrees): 5.152 5.152 4.396 90.00 90.00 90.00
Positions (direct):
Na: 0.500 0.500 0.500
S: 0.000 0.000 0.500
Ir: 0.000 0.000 0.000
Cl: 0.000 0.500 0.000
Cl: 0.500 0.000 0.000